VASP calculation (PBE) on a relaxed structure of Ac4ErTe7.

Values from the calculation:
The calculated total energy comes out at -122.5 eV for the cell shown. The calculation puts the formation energy from raw total energies at -1523.4 meV per atom.

```
data_Ac4ErTe7
_symmetry_space_group_name_H-M 'C 1 m 1'
_symmetry_Int_Tables_number 8
_cell_length_a 15.3869
_cell_length_b 4.5610
_cell_length_c 13.4935
_cell_angle_alpha 90.00
_cell_angle_beta 104.85
_cell_angle_gamma 90.00
loop_
_symmetry_equiv_pos_as_xyz
'x,y,z'
'x,-y,z'
'x+1/2,y+1/2,z'
'x+1/2,-y+1/2,z'
loop_
_atom_site_label
_atom_site_type_symbol
_atom_site_fract_x
_atom_site_fract_y
_atom_site_fract_z
_atom_site_occupancy
Ac1 Ac 0.0000 0.0000 0.0000 1
Ac2 Ac 0.0984 0.0000 0.4518 1
Ac3 Ac 0.2018 0.5000 0.8229 1
Ac4 Ac 0.3050 0.0000 0.2200 1
Er1 Er 0.3712 0.5000 0.5811 1
Te1 Te 0.0341 0.0000 0.7673 1
Te2 Te 0.1618 0.5000 0.0652 1
Te3 Te 0.2264 0.5000 0.3735 1
Te4 Te 0.2704 0.0000 0.6644 1
Te5 Te 0.3387 0.0000 0.9676 1
Te6 Te 0.4533 0.0000 0.4843 1
Te7 Te 0.4620 0.5000 0.2259 1
```

VASP calculation (PBE) on a relaxed structure of LiCaIrF6.

Values from the calculation:
The calculated total energy comes out at -93.0 eV for the cell shown. The calculation puts the formation energy from raw total energies at -2501.7 meV per atom.

```
data_LiCaIrF6
_symmetry_space_group_name_H-M 'P -3 1 c'
_symmetry_Int_Tables_number 163
_symmetry_space_group_name_Hall '-P 3 2c'
_cell_length_a 5.5295
_cell_length_b 5.5295
_cell_length_c 9.0059
_cell_angle_alpha 90.00
_cell_angle_beta 90.00
_cell_angle_gamma 120.00
loop_
_atom_site_label
_atom_site_type_symbol
_atom_site_fract_x
_atom_site_fract_y
_atom_site_fract_z
_atom_site_occupancy
Li1 Li 0.0000 0.0000 0.0000 1
Ca1 Ca 0.3333 0.6667 0.2500 1
Ir1 Ir 0.3333 0.6667 0.7500 1
F1 F 0.0329 0.3521 0.6242 1
```

VASP calculation (PBE) on a relaxed structure of Pm2YNi.

Values from the calculation:
Its distance to the lowest polymorph of the same formula is 0.123 eV/atom. The calculated total energy comes out at -22.1 eV for the cell shown. The formation enthalpy at 0 K is -0.0796 eV/atom.

```
data_Pm2YNi
_symmetry_space_group_name_H-M 'P 4/m m m'
_symmetry_Int_Tables_number 123
_symmetry_space_group_name_Hall '-P 4 2'
_cell_length_a 3.5439
_cell_length_b 3.5439
_cell_length_c 8.7692
_cell_angle_alpha 90.00
_cell_angle_beta 90.00
_cell_angle_gamma 90.00
loop_
_atom_site_label
_atom_site_type_symbol
_atom_site_fract_x
_atom_site_fract_y
_atom_site_fract_z
_atom_site_occupancy
Pm1 Pm 0.0000 0.0000 0.1889 1
Y1 Y 0.5000 0.5000 0.5000 1
Ni1 Ni 0.5000 0.5000 0.0000 1
```

VASP calculation (PBE) on a relaxed structure of LiCaIr2.

Values from the calculation:
Its distance to the lowest polymorph of the same formula is 0.022 eV/atom. The calculated total energy comes out at -44.1 eV for the cell shown. The formation enthalpy at 0 K is -0.1023 eV/atom.

```
data_LiCaIr2
_symmetry_space_group_name_H-M 'C 1 m 1'
_symmetry_Int_Tables_number 8
_cell_length_a 10.4134
_cell_length_b 2.8367
_cell_length_c 5.1358
_cell_angle_alpha 90.00
_cell_angle_beta 117.19
_cell_angle_gamma 90.00
loop_
_symmetry_equiv_pos_as_xyz
'x,y,z'
'x,-y,z'
'x+1/2,y+1/2,z'
'x+1/2,-y+1/2,z'
loop_
_atom_site_label
_atom_site_type_symbol
_atom_site_fract_x
_atom_site_fract_y
_atom_site_fract_z
_atom_site_occupancy
Li1 Li 0.0000 0.0000 0.0000 1
Ca1 Ca 0.2137 0.0000 0.8293 1
Ir1 Ir 0.2397 0.5000 0.3712 1
Ir2 Ir 0.4577 0.0000 0.4009 1
```

VASP calculation (PBE) on a relaxed structure of Mg2Be4Ru.

Values from the calculation:
The calculated total energy comes out at -48.6 eV for the cell shown. The formation enthalpy at 0 K is 0.4391 eV/atom.

```
data_Mg2Be4Ru
_symmetry_space_group_name_H-M 'I 4/m m m'
_symmetry_Int_Tables_number 139
_symmetry_space_group_name_Hall '-I 4 2'
_cell_length_a 4.1689
_cell_length_b 4.1689
_cell_length_c 12.8709
_cell_angle_alpha 90.00
_cell_angle_beta 90.00
_cell_angle_gamma 90.00
loop_
_atom_site_label
_atom_site_type_symbol
_atom_site_fract_x
_atom_site_fract_y
_atom_site_fract_z
_atom_site_occupancy
Mg1 Mg 0.0000 0.0000 0.1296 1
Be1 Be 0.0000 0.0000 0.3318 1
Be2 Be 0.0000 0.5000 0.0000 1
Ru1 Ru 0.0000 0.0000 0.5000 1
```

VASP calculation (PBE) on a relaxed structure of KAg3Te2.

Values from the calculation:
The calculated total energy comes out at -67.1 eV for the cell shown. The calculation puts the formation energy from raw total energies at -140.4 meV per atom.

```
data_KAg3Te2
_symmetry_space_group_name_H-M 'C 1 2/m 1'
_symmetry_Int_Tables_number 12
_cell_length_a 19.1072
_cell_length_b 4.7524
_cell_length_c 9.7358
_cell_angle_alpha 90.00
_cell_angle_beta 116.63
_cell_angle_gamma 90.00
loop_
_symmetry_equiv_pos_as_xyz
'x,y,z'
'-x,-y,-z'
'-x,y,-z'
'x,-y,z'
'x+1/2,y+1/2,z'
'-x+1/2,-y+1/2,-z'
'-x+1/2,y+1/2,-z'
'x+1/2,-y+1/2,z'
loop_
_atom_site_label
_atom_site_type_symbol
_atom_site_fract_x
_atom_site_fract_y
_atom_site_fract_z
_atom_site_occupancy
K1 K 0.1003 0.0000 0.0199 1
Ag1 Ag 0.0774 0.0000 0.6213 1
Ag2 Ag 0.2131 0.0000 0.4050 1
Ag3 Ag 0.2340 0.0000 0.9095 1
Te1 Te 0.0574 0.0000 0.3176 1
Te2 Te 0.1869 0.5000 0.7333 1
```

Q: What is the calculated total energy in the third record?
A: -22.1 eV for the cell shown

Q: Which of these has the lowest calculated total energy?
A: Ac4ErTe7